Record 1
This record from the Open Quantum Materials Database describes LaTmTc after structural relaxation. The functional is PBE-GGA.

a = 4.800 Å, b = 4.800 Å, c = 4.800 Å
α = 60.00°, β = 60.00°, γ = 60.00°
Fractional coordinates of all 3 atoms:
1 La 0.000 0.000 0.000
2 Tm 0.250 0.250 0.250
3 Tc 0.500 0.500 0.500

Calculated values
DFT total energy   -0.2120 hartree per atom
Crystal system   cubic
ΔE_f   818.3 meV per atom
SG   No. 216

***

Record 2
This record from the Open Quantum Materials Database describes LaUTc after structural relaxation. The functional is PBE-GGA.

a = 4.635 Å, b = 4.635 Å, c = 4.635 Å
α = 60.00°, β = 60.00°, γ = 60.00°
Fractional coordinates of all 3 atoms:
1 La 0.000 0.000 0.000
2 U 0.250 0.250 0.250
3 Tc 0.500 0.500 0.500

Calculated values
DFT total energy   -0.2979 hartree per atom
Crystal system   cubic
ΔE_f   754.8 meV per atom
SG   No. 216

***

Record 3
This record from the Open Quantum Materials Database describes LaYTc after structural relaxation. The functional is PBE-GGA.

a = 4.884 Å, b = 4.884 Å, c = 4.884 Å
α = 60.00°, β = 60.00°, γ = 60.00°
Fractional coordinates of all 3 atoms:
1 La 0.000 0.000 0.000
2 Y 0.500 0.500 0.500
3 Tc 0.250 0.250 0.250

Calculated values
DFT total energy   -0.2608 hartree per atom
Crystal system   cubic
ΔE_f   153.3 meV per atom
SG   No. 216

***

Record 4
This record from the Open Quantum Materials Database describes La2Zn4Tc after structural relaxation. The functional is PBE-GGA.

a = 8.389 Å, b = 8.389 Å, c = 8.389 Å
α = 146.78°, β = 146.78°, γ = 47.68°
Fractional coordinates of all 7 atoms:
1 La 0.135 0.135 0.000
2 La 0.865 0.865 0.000
3 Zn 0.000 0.500 0.500
4 Zn 0.339 0.339 0.000
5 Zn 0.500 0.000 0.500
6 Zn 0.661 0.661 0.000
7 Tc 0.500 0.500 0.000

Calculated values
DFT total energy   -0.1318 hartree per atom
Crystal system   tetragonal
ΔE_f   23.3 meV per atom
SG   No. 139

***

Record 5
This record from the Open Quantum Materials Database describes LaZrTc after structural relaxation. The functional is PBE-GGA.

a = 4.752 Å, b = 4.752 Å, c = 4.752 Å
α = 60.00°, β = 60.00°, γ = 60.00°
Fractional coordinates of all 3 atoms:
1 La 0.000 0.000 0.000
2 Zr 0.500 0.500 0.500
3 Tc 0.250 0.250 0.250

Calculated values
DFT total energy   -0.2861 hartree per atom
Crystal system   cubic
ΔE_f   158.9 meV per atom
SG   No. 216

***

Record 6
This record from the Open Quantum Materials Database describes LaThTe after structural relaxation. The functional is PBE-GGA.

a = 5.293 Å, b = 5.293 Å, c = 5.293 Å
α = 60.00°, β = 60.00°, γ = 60.00°
Fractional coordinates of all 3 atoms:
1 La 0.000 0.000 0.000
2 Th 0.500 0.500 0.500
3 Te 0.250 0.250 0.250

Calculated values
DFT total energy   -0.2057 hartree per atom
Crystal system   cubic
SG   No. 216

***

Record 7
This record from the Open Quantum Materials Database describes LaTlZnTe3 after structural relaxation. The functional is PBE-GGA.

a = 8.055 Å, b = 8.055 Å, c = 12.093 Å
α = 90.00°, β = 90.00°, γ = 147.64°
Fractional coordinates of all 12 atoms:
1 La 0.000 0.000 0.000
2 La 0.000 0.000 0.500
3 Tl 0.245 0.755 0.750
4 Tl 0.755 0.245 0.250
5 Zn 0.465 0.535 0.250
6 Zn 0.535 0.465 0.750
7 Te 0.073 0.927 0.250
8 Te 0.362 0.638 0.072
9 Te 0.362 0.638 0.428
10 Te 0.638 0.362 0.572
11 Te 0.638 0.362 0.928
12 Te 0.927 0.073 0.750

Calculated values
DFT total energy   -0.1431 hartree per atom
Crystal system   orthorhombic
SG   No. 63

***

Record 8
This record from the Open Quantum Materials Database describes LaTlZnTe3 after structural relaxation. The functional is PBE-GGA.

a = 9.200 Å, b = 4.695 Å, c = 18.103 Å
α = 90.00°, β = 90.00°, γ = 90.00°
Fractional coordinates of all 24 atoms:
1 La 0.246 0.250 0.047
2 La 0.254 0.750 0.547
3 La 0.746 0.250 0.453
4 La 0.754 0.750 0.953
5 Tl 0.071 0.250 0.786
6 Tl 0.429 0.750 0.286
7 Tl 0.571 0.250 0.714
8 Tl 0.929 0.750 0.214
9 Zn 0.135 0.250 0.358
10 Zn 0.365 0.750 0.858
11 Zn 0.635 0.250 0.142
12 Zn 0.865 0.750 0.642
13 Te 0.001 0.750 0.408
14 Te 0.124 0.750 0.943
15 Te 0.196 0.250 0.217
16 Te 0.304 0.750 0.717
17 Te 0.376 0.250 0.443
18 Te 0.499 0.250 0.908
19 Te 0.501 0.750 0.092
20 Te 0.624 0.750 0.557
21 Te 0.696 0.250 0.283
22 Te 0.804 0.750 0.783
23 Te 0.876 0.250 0.057
24 Te 0.999 0.250 0.592

Calculated values
DFT total energy   -0.1405 hartree per atom
Crystal system   orthorhombic
SG   No. 62